! AcMgZn2Au, relaxed, DFT GGA-PBE; values from VASP
&SYSTEM
  ibrav = 0, nat = 5, ntyp = 4
/
ATOMIC_SPECIES
Au 196.97 Au.upf
Zn 65.41 Zn.upf
Mg 24.30 Mg.upf
Ac 227.00 Ac.upf
CELL_PARAMETERS angstrom
-2.021 3.082 2.141
1.223 -1.807 3.756
5.564 2.777 -2.987
ATOMIC_POSITIONS crystal
Au 0.834 0.834 0.669
Zn 0.688 0.188 0.376
Zn 0.056 0.056 0.112
Mg 0.192 0.692 0.385
Ac 0.441 0.441 0.883
! Size of the total moment ... 0.0 Bohr magnetons per cell
! Uncorrected energy ... -2.76 eV per atom
! DFT formation energy ... -456 meV per atom